First-principles (PBE) data for crystalline ScAlTc at its relaxed geometry, as listed in OQMD.

a = 3.3080 Å, b = 3.3080 Å, c = 9.1280 Å
α = 90.00°, β = 90.00°, γ = 90.00°
Closest atoms and distances in Å follow each position.
Positions (direct):
Al 0.0000 0.0000 0.3577  1 Al 2.60, 4 Tc 2.68
Al 0.0000 0.0000 0.6423  1 Al 2.60, 4 Tc 2.68
Sc 0.5000 0.5000 0.1647  5 Tc 2.78-3.06, 4 Al 2.93, 1 Sc 3.01
Sc 0.5000 0.5000 0.8353  5 Tc 2.78-3.06, 4 Al 2.93, 1 Sc 3.01
Tc 0.0000 0.0000 0.0000  8 Sc 2.78
Tc 0.5000 0.5000 0.5000  8 Al 2.68

Computed properties:
crystal system	tetragonal
distance to the lowest polymorph of the same formula	0.045	eV/atom
spin magnetization	0.01	μB/cell
space-group type	P4/mmm

***

First-principles (PBE) data for crystalline Sc2AlTc at its relaxed geometry, as listed in OQMD.

a = 4.6323 Å, b = 4.6323 Å, c = 4.6323 Å
α = 60.00°, β = 60.00°, γ = 60.00°
Closest atoms and distances in Å follow each position.
Positions (direct):
Al 0.5000 0.5000 0.5000  4 Sc 2.84, 4 Tc 2.84
Sc 0.0000 0.0000 0.0000  4 Sc 2.84, 4 Tc 2.84
Sc 0.7500 0.7500 0.7500  4 Al 2.84, 4 Sc 2.84
Tc 0.2500 0.2500 0.2500  4 Al 2.84, 4 Sc 2.84

Computed properties:
crystal system	cubic
distance to the lowest polymorph of the same formula	0.152	eV/atom
spin magnetization	0.07	μB/cell
space-group type	F-43m

***

First-principles (PBE) data for crystalline ScAlTc at its relaxed geometry, as listed in OQMD.

a = 8.6385 Å, b = 5.2561 Å, c = 5.2561 Å
α = 60.47°, β = 90.00°, γ = 90.00°
Closest atoms and distances in Å follow each position.
Positions (direct):
Al 0.5000 0.8349 0.3449  2 Tc 2.57-2.68, 4 Al 2.59-2.71
Al 0.5000 0.3449 0.8349  2 Tc 2.57-2.68, 4 Al 2.59-2.71
Al 0.2482 0.9935 0.9935  4 Tc 2.61-2.66, 2 Al 2.71
Al 0.7518 0.9935 0.9935  4 Tc 2.61-2.66, 2 Al 2.71
Sc 0.3119 0.3335 0.3335  7 Al 3.06-3.14, 5 Tc 3.06-3.11, 4 Sc 3.25-3.27
Sc 0.6881 0.3335 0.3335  7 Al 3.06-3.14, 5 Tc 3.06-3.11, 4 Sc 3.25-3.27
Sc 0.1776 0.6704 0.6704  5 Al 3.00-3.16, 7 Tc 3.01-3.16, 4 Sc 3.07-3.27
Sc 0.8224 0.6704 0.6704  5 Al 3.00-3.16, 7 Tc 3.01-3.16, 4 Sc 3.07-3.27
Tc 0.0000 0.1662 0.1662  4 Tc 2.57-2.69, 2 Al 2.66
Tc 0.0000 0.6512 0.1734  4 Tc 2.53-2.76, 2 Al 2.66
Tc 0.0000 0.1734 0.6512  4 Tc 2.53-2.76, 2 Al 2.66
Tc 0.5000 0.8346 0.8346  6 Al 2.57-2.68

Computed properties:
crystal system	orthorhombic
distance to the lowest polymorph of the same formula	0.000	eV/atom
spin magnetization	0.01	μB/cell
space-group type	Amm2

***

First-principles (PBE) data for crystalline Sc3AlTc2 at its relaxed geometry, as listed in OQMD.

a = 3.3247 Å, b = 3.3247 Å, c = 10.0053 Å
α = 90.00°, β = 90.00°, γ = 90.00°
Closest atoms and distances in Å follow each position.
Positions (direct):
Al 0.0000 0.0000 0.3456  4 Tc 2.65, 5 Sc 2.78-2.93
Sc 0.5000 0.5000 0.1702  5 Tc 2.79-2.98, 4 Al 2.93, 1 Sc 2.98
Sc 0.0000 0.0000 0.6231  1 Al 2.78, 4 Tc 2.82
Sc 0.5000 0.5000 0.8729  4 Tc 2.78, 1 Sc 2.98
Tc 0.0000 0.0000 0.0205  8 Sc 2.78-2.79
Tc 0.5000 0.5000 0.4678  4 Al 2.65, 4 Sc 2.82

Computed properties:
crystal system	tetragonal
VASP energy	-7.553	eV/atom
spin magnetization	0.01	μB/cell
space-group type	P4mm

***

First-principles (PBE) data for crystalline ScAlTc at its relaxed geometry, as listed in OQMD.

a = 3.2688 Å, b = 3.2688 Å, c = 9.8047 Å
α = 90.00°, β = 90.00°, γ = 90.00°
Closest atoms and distances in Å follow each position.
Positions (direct):
Al 0.0000 0.5000 0.0763  5 Tc 2.66-2.80, 4 Al 2.75, 1 Sc 2.84
Al 0.5000 0.0000 0.9237  5 Tc 2.66-2.80, 4 Al 2.75, 1 Sc 2.84
Sc 0.0000 0.5000 0.3657  4 Tc 2.77, 1 Al 2.84
Sc 0.5000 0.0000 0.6343  4 Tc 2.77, 1 Al 2.84
Tc 0.5000 0.0000 0.2096  5 Al 2.66-2.80, 4 Sc 2.77
Tc 0.0000 0.5000 0.7904  5 Al 2.66-2.80, 4 Sc 2.77

Computed properties:
crystal system	tetragonal
distance to the lowest polymorph of the same formula	0.179	eV/atom
spin magnetization	0.02	μB/cell
space-group type	P4/nmm

***

First-principles (PBE) data for crystalline Sc2AlTc at its relaxed geometry, as listed in OQMD.

a = 4.6745 Å, b = 6.6159 Å, c = 14.0272 Å
α = 90.00°, β = 90.00°, γ = 90.00°
Closest atoms and distances in Å follow each position.
Positions (direct):
Al 0.0000 0.0000 0.0000  8 Sc 2.86
Al 0.4989 0.5000 0.1667  8 Sc 2.86-2.87
Al 0.9989 0.0000 0.3333  8 Sc 2.86-2.87
Al 0.5000 0.5000 0.5000  8 Sc 2.86
Al 0.0011 0.0000 0.6667  8 Sc 2.86-2.87
Al 0.5011 0.5000 0.8333  8 Sc 2.86-2.87
Sc 0.5000 0.2500 0.0000  4 Tc 2.86, 4 Al 2.86
Sc 0.5000 0.7500 0.0000  4 Tc 2.86, 4 Al 2.86
Sc 0.9994 0.2499 0.1667  4 Tc 2.86-2.87, 4 Al 2.86-2.87
Sc 0.9994 0.7501 0.1667  4 Tc 2.86-2.87, 4 Al 2.86-2.87
Sc 0.4994 0.2501 0.3333  4 Tc 2.86-2.87, 4 Al 2.86-2.87
Sc 0.4994 0.7499 0.3333  4 Tc 2.86-2.87, 4 Al 2.86-2.87
Sc 0.0000 0.2500 0.5000  4 Tc 2.86, 4 Al 2.86
Sc 0.0000 0.7500 0.5000  4 Tc 2.86, 4 Al 2.86
Sc 0.5006 0.2501 0.6667  4 Tc 2.86-2.87, 4 Al 2.86-2.87
Sc 0.5006 0.7499 0.6667  4 Tc 2.86-2.87, 4 Al 2.86-2.87
Sc 0.0006 0.2499 0.8333  4 Tc 2.86-2.87, 4 Al 2.86-2.87
Sc 0.0006 0.7501 0.8333  4 Tc 2.86-2.87, 4 Al 2.86-2.87
Tc 0.0000 0.5000 0.0000  8 Sc 2.86
Tc 0.5005 0.0000 0.1667  8 Sc 2.86-2.87
Tc 0.0005 0.5000 0.3333  8 Sc 2.86-2.87
Tc 0.5000 0.0000 0.5000  8 Sc 2.86
Tc 0.9995 0.5000 0.6667  8 Sc 2.86-2.87
Tc 0.4995 0.0000 0.8333  8 Sc 2.86-2.87

Computed properties:
crystal system	orthorhombic
distance to the lowest polymorph of the same formula	0.007	eV/atom
spin magnetization	0.04	μB/cell
space-group type	Pnnm

***

First-principles (PBE) data for crystalline ThScAl at its relaxed geometry, as listed in OQMD.

a = 4.9330 Å, b = 4.9330 Å, c = 4.9330 Å
α = 60.00°, β = 60.00°, γ = 60.00°
Closest atoms and distances in Å follow each position.
Positions (direct):
Al 0.0000 0.0000 0.0000  4 Sc 3.02, 4 Th 3.02
Sc 0.2500 0.2500 0.2500  4 Al 3.02
Th 0.7500 0.7500 0.7500  4 Al 3.02

Computed properties:
crystal system	cubic
distance to the lowest polymorph of the same formula	0.000	eV/atom
spin magnetization	0.00	μB/cell
space-group type	F-43m

***

First-principles (PBE) data for crystalline TmScAl at its relaxed geometry, as listed in OQMD.

a = 4.9003 Å, b = 4.9003 Å, c = 4.9003 Å
α = 60.00°, β = 60.00°, γ = 60.00°
Closest atoms and distances in Å follow each position.
Positions (direct):
Al 0.2500 0.2500 0.2500  4 Tm 3.00
Sc 0.7500 0.7500 0.7500  4 Tm 3.00
Tm 0.0000 0.0000 0.0000  4 Sc 3.00, 4 Al 3.00

Computed properties:
crystal system	cubic
distance to the lowest polymorph of the same formula	0.125	eV/atom
spin magnetization	0.04	μB/cell
space-group type	F-43m

***

First-principles (PBE) data for crystalline TmScAl at its relaxed geometry, as listed in OQMD.

a = 4.8594 Å, b = 4.8594 Å, c = 4.8594 Å
α = 60.00°, β = 60.00°, γ = 60.00°
Closest atoms and distances in Å follow each position.
Positions (direct):
Al 0.2500 0.2500 0.2500  4 Sc 2.98
Sc 0.0000 0.0000 0.0000  4 Tm 2.98, 4 Al 2.98
Tm 0.7500 0.7500 0.7500  4 Sc 2.98

Computed properties:
crystal system	cubic
distance to the lowest polymorph of the same formula	0.000	eV/atom
spin magnetization	0.00	μB/cell
space-group type	F-43m

***

First-principles (PBE) data for crystalline Sc2AlW at its relaxed geometry, as listed in OQMD.

a = 4.6972 Å, b = 4.6972 Å, c = 4.6972 Å
α = 60.00°, β = 60.00°, γ = 60.00°
Closest atoms and distances in Å follow each position.
Positions (direct):
Al 0.5000 0.5000 0.5000  4 Sc 2.88, 4 W 2.88
Sc 0.0000 0.0000 0.0000  4 W 2.88, 4 Sc 2.88
Sc 0.7500 0.7500 0.7500  4 Al 2.88, 4 Sc 2.88
W 0.2500 0.2500 0.2500  4 Al 2.88, 4 Sc 2.88

Computed properties:
crystal system	cubic
VASP energy	-7.239	eV/atom
spin magnetization	1.10	μB/cell
space-group type	F-43m